(1)
DFT (PBE) results for a relaxed structure of K2AgHg6.

Structure (POSCAR):
```
K2AgHg6
1.0
7.825 0.000 0.533
0.000 6.735 0.000
1.346 0.000 10.288
K Hg Ag
4 12 2
Direct
0.426 0.000 0.213 K
0.926 0.500 0.713 K
0.074 0.500 0.287 K
0.574 0.000 0.787 K
0.446 0.500 0.729 Hg
0.298 0.755 0.526 Hg
0.554 0.500 0.271 Hg
0.946 0.000 0.229 Hg
0.702 0.245 0.474 Hg
0.298 0.245 0.525 Hg
0.798 0.745 0.026 Hg
0.202 0.745 0.975 Hg
0.798 0.255 0.025 Hg
0.202 0.255 0.974 Hg
0.054 0.000 0.771 Hg
0.702 0.755 0.475 Hg
0.500 0.500 0.000 Ag
0.000 0.000 0.500 Ag
```

Calculated values
SG: C2/m
Energy of formation from the pure elements (eV per formula unit): -1.5

***

(2)
DFT (PBE) results for a relaxed structure of Nd2Y2Tm.

Structure (POSCAR):
```
Nd2Y2Tm
1.0
5.756 0.000 0.000
0.000 3.665 0.000
-2.878 -1.833 15.840
Tm Nd Y
2 4 4
Direct
0.831 0.581 0.661 Tm
0.169 0.419 0.339 Tm
0.370 0.120 0.741 Nd
0.728 0.978 0.457 Nd
0.272 0.022 0.543 Nd
0.630 0.880 0.259 Nd
0.055 0.805 0.111 Y
0.458 0.708 0.917 Y
0.945 0.195 0.889 Y
0.542 0.292 0.083 Y
```

Calculated values
Polymorph energy (0 for the lowest one) (meV/atom): 122
SG: Imma
Energy of formation from the pure elements (eV per formula unit): 0.7

***

(3)
DFT (PBE) results for a relaxed structure of Ce4SnCl4.

Structure (POSCAR):
```
Ce4SnCl4
1.0
5.200 0.000 2.287
2.600 6.561 1.143
-0.041 0.000 7.148
Ce Cl Sn
4 4 1
Direct
0.900 0.416 0.783 Ce
0.317 0.783 0.584 Ce
0.683 0.217 0.416 Ce
0.100 0.584 0.217 Ce
0.206 0.184 0.404 Cl
0.794 0.816 0.596 Cl
0.390 0.404 0.816 Cl
0.610 0.596 0.184 Cl
0.000 0.000 0.000 Sn
```

Calculated values
SG: I4/m
Formation energy without anion corrections (eV per atom): -1.28

***

(4)
DFT (PBE) results for a relaxed structure of Ce5Bi2TeN.

Structure (POSCAR):
```
Ce5Bi2TeN
1.0
-1.879 -4.326 -0.442
-0.230 -0.383 4.716
-10.620 4.627 -0.142
N Ce Te Bi
1 5 1 2
Direct
0.000 0.000 0.500 N
0.000 0.000 0.273 Ce
0.000 0.000 0.727 Ce
0.500 0.000 0.500 Ce
0.500 0.500 0.000 Ce
0.000 0.500 0.500 Ce
0.000 0.000 0.000 Te
0.500 0.500 0.287 Bi
0.500 0.500 0.713 Bi
```

Calculated values
SG: P4/mmm
Formation energy without anion corrections (eV per atom): -0.98

***

(5)
DFT (PBE) results for a relaxed structure of Pd2Pt7Rh3.

Structure (POSCAR):
```
Pd2Pt7Rh3
1.0
2.744 0.000 0.000
0.000 4.751 -1.007
0.000 -2.047 14.873
Pd Pt Rh
2 7 3
Direct
0.500 0.510 0.334 Pd
0.500 0.490 0.666 Pd
0.500 0.001 0.838 Pt
0.000 0.502 0.838 Pt
0.500 0.220 0.473 Pt
0.000 0.498 0.162 Pt
0.000 0.000 0.000 Pt
0.500 0.780 0.527 Pt
0.500 0.999 0.162 Pt
0.000 0.988 0.317 Rh
0.000 0.012 0.683 Rh
0.500 0.500 0.000 Rh
```

Calculated values
SG: P2/m
Energy of formation from the pure elements (eV per formula unit): 0.9

***

(6)
DFT (PBE) results for a relaxed structure of ReSnI2N.

Structure (POSCAR):
```
ReSnI2N
1.0
5.691 0.000 0.000
0.000 5.691 0.000
0.000 0.000 3.812
N Sn Re I
1 1 1 2
Direct
0.000 0.000 0.500 N
0.500 0.500 0.500 Sn
0.000 0.000 0.000 Re
0.000 0.500 0.000 I
0.500 0.000 0.000 I
```

Calculated values
Polymorph energy (0 for the lowest one) (meV/atom): 0
SG: P4/mmm
Formation energy without anion corrections (eV per atom): 0.43

***

(7)
DFT (PBE) results for a relaxed structure of TaTcPb3.

Structure (POSCAR):
```
TaTcPb3
1.0
5.485 0.000 0.000
0.000 5.485 0.000
0.000 0.000 5.485
Pb Tc Ta
3 1 1
Direct
0.000 0.000 0.500 Pb
0.000 0.500 0.000 Pb
0.500 0.000 0.000 Pb
0.500 0.500 0.500 Tc
0.000 0.000 0.000 Ta
```

Calculated values
Polymorph energy (0 for the lowest one) (meV/atom): 37
SG: Pm-3m
Energy of formation from the pure elements (eV per formula unit): 7.0

***

(8)
DFT (PBE) results for a relaxed structure of CeAg2PdSe4.

Structure (POSCAR):
```
CeAg2PdSe4
1.0
-3.393 1.413 -1.751
-1.987 -3.474 5.779
0.999 11.082 7.006
Se Pd Ag Ce
8 2 4 2
Direct
0.000 0.000 0.500 Se
0.000 0.000 0.000 Se
0.544 0.088 0.250 Se
0.701 0.403 0.619 Se
0.701 0.403 0.881 Se
0.299 0.597 0.381 Se
0.299 0.597 0.119 Se
0.456 0.912 0.750 Se
0.161 0.322 0.250 Pd
0.839 0.678 0.750 Pd
0.625 0.251 0.433 Ag
0.625 0.251 0.067 Ag
0.375 0.749 0.567 Ag
0.375 0.749 0.933 Ag
0.890 0.780 0.250 Ce
0.110 0.220 0.750 Ce
```

Calculated values
SG: Cmcm
Formation energy without anion corrections (eV per atom): -0.58

***

(9)
DFT (PBE) results for a relaxed structure of RbPaTe2Br.

Structure (POSCAR):
```
RbPaTe2Br
1.0
-2.823 -3.435 0.281
7.131 -5.545 3.833
-4.429 4.283 7.882
Br Rb Pa Te
2 2 2 4
Direct
0.750 0.453 0.249 Br
0.250 0.547 0.751 Br
0.750 0.265 0.679 Rb
0.250 0.735 0.321 Rb
0.250 0.842 0.833 Pa
0.750 0.158 0.167 Pa
0.250 0.132 0.367 Te
0.250 0.168 0.952 Te
0.750 0.868 0.633 Te
0.750 0.832 0.048 Te
```

Calculated values
SG: P2_1/m
Formation energy without anion corrections (eV per atom): -1.15

***

(10)
DFT (PBE) results for a relaxed structure of Li5AlAu4.

Structure (POSCAR):
```
Li5AlAu4
1.0
-3.616 1.851 1.873
-3.188 -2.360 -3.821
2.086 -5.239 3.861
Li Au Al
5 4 1
Direct
0.106 0.385 0.212 Li
0.704 0.806 0.408 Li
0.500 0.500 0.000 Li
0.894 0.615 0.788 Li
0.296 0.194 0.592 Li
0.094 0.868 0.188 Au
0.697 0.298 0.395 Au
0.303 0.702 0.605 Au
0.906 0.132 0.812 Au
0.500 0.000 0.000 Al
```

Calculated values
SG: C2/m
Energy of formation from the pure elements (eV per formula unit): -5.2

***

(11)
DFT (PBE) results for a relaxed structure of Ca2RhPb.

Structure (POSCAR):
```
Ca2RhPb
1.0
3.570 0.000 0.000
0.000 3.570 0.000
0.000 0.000 8.545
Pb Rh Ca
1 1 2
Direct
0.000 0.000 0.555 Pb
0.500 0.500 0.714 Rh
0.500 0.500 0.303 Ca
0.000 0.000 0.928 Ca
```

Calculated values
SG: P4mm
Energy of formation from the pure elements (eV per formula unit): -1.0

***

(12)
DFT (PBE) results for a relaxed structure of ErScTeAs.

Structure (POSCAR):
```
ErScTeAs
1.0
-0.059 2.793 2.898
1.869 -3.509 0.625
5.396 2.045 -4.657
As Sc Er Te
1 1 1 1
Direct
0.315 0.555 0.885 As
0.111 0.954 0.080 Sc
0.491 0.144 0.650 Er
0.960 0.378 0.354 Te
```

Calculated values
SG: R3m
Formation energy without anion corrections (eV per atom): -1.36